(1)
Below is Ti6AlGa5 after structural relaxation, with properties calculated at the PBE-GGA level.

Results
The calculated total energy is -5.781 eV/atom. As for the density of states at the Fermi level: 10.4 states/eV/f.u. The calculation puts the density at 5.5 g/cm3. The calculation puts the size of the total moment at 0.0000 μB/atom. The space group is No. 12.

a = 5.2320 Å, b = 9.0557 Å, c = 6.2008 Å
α = 43.10°, β = 84.40°, γ = 82.32°
Element x y z (fractional)
1 Ti 0.2503 0.5802 0.3363
2 Ti 0.2512 0.2520 0.0000
3 Ti 0.7497 0.4198 0.6637
4 Ti 0.7488 0.7480 0.0000
5 Ti 0.7497 0.0835 0.3363
6 Ti 0.2503 0.9165 0.6637
7 Ga 0.5000 0.8359 0.3281
8 Ga 0.5000 0.1641 0.6719
9 Ga 0.0000 0.6685 0.6630
10 Ga 0.0000 0.3315 0.3370
11 Ga 0.5000 0.5000 0.0000
12 Al 0.0000 0.0000 0.0000

---

(2)
Below is Ti2Al6Ga after structural relaxation, with properties calculated at the PBE-GGA level.

Results
The calculated total energy is -4.861 eV/atom. As for the density of states at the Fermi level: 3.6 states/eV/f.u. The calculation puts the density at 3.7 g/cm3. The calculation puts the size of the total moment at 0.0000 μB/atom. The space group is No. 12.

a = 3.9013 Å, b = 6.2482 Å, c = 6.6817 Å
α = 109.82°, β = 106.97°, γ = 90.00°
Element x y z (fractional)
1 Al 0.2784 0.1496 0.5568
2 Al 0.3969 0.8428 0.7938
3 Al 0.6031 0.1572 0.2062
4 Al 0.1698 0.5027 0.3395
5 Al 0.8302 0.4973 0.6605
6 Al 0.7216 0.8504 0.4432
7 Ga 0.5000 0.5000 0.0000
8 Ti 0.9454 0.1848 0.8909
9 Ti 0.0546 0.8152 0.1091

---

(3)
Below is TiAl2TlGa after structural relaxation, with properties calculated at the PBE-GGA level.

Results
The calculated total energy is -2.908 eV/atom. As for the density of states at the Fermi level: 9.6 states/eV/f.u. The calculation puts the density at 4.6 g/cm3. The calculation puts the size of the total moment at 0.0001 μB/atom. The space group is No. 123.

a = 5.1218 Å, b = 5.2076 Å, c = 5.1218 Å
α = 90.00°, β = 90.00°, γ = 90.00°
Element x y z (fractional)
1 Al 0.0000 0.0000 0.5000
2 Al 0.5000 0.0000 0.0000
3 Tl 0.0000 0.0000 0.0000
4 Ti 0.5000 0.5000 0.5000
5 Ga 0.0000 0.5000 0.0000

---

(4)
Below is TmTiAlGa after structural relaxation, with properties calculated at the PBE-GGA level.

Results
The calculated total energy is -5.069 eV/atom. As for the density of states at the Fermi level: 4.7 states/eV/f.u. The calculation puts the density at 6.8 g/cm3. The calculation puts the size of the total moment at 0.2128 μB/atom. The space group is No. 216.

a = 4.7653 Å, b = 4.7653 Å, c = 4.7653 Å
α = 60.00°, β = 60.00°, γ = 60.00°
Site moments in Bohr magnetons follow the coordinates.
Element x y z (fractional)
1 Tm 0.2500 0.2500 0.2500  0.06
2 Ga 0.0000 0.0000 0.0000  -0.02
3 Ti 0.7500 0.7500 0.7500  0.65
4 Al 0.5000 0.5000 0.5000  -0.01

---

(5)
Below is Ti2AlZnGa after structural relaxation, with properties calculated at the PBE-GGA level.

Results
The calculated total energy is -4.267 eV/atom. As for the density of states at the Fermi level: 3.5 states/eV/f.u. The calculation puts the density at 4.4 g/cm3. The calculation puts the size of the total moment at 0.0000 μB/atom. The space group is No. 123.

a = 4.7079 Å, b = 4.4392 Å, c = 4.7079 Å
α = 90.00°, β = 90.00°, γ = 90.00°
Element x y z (fractional)
1 Zn 0.0000 0.0000 0.0000
2 Ga 0.5000 0.5000 0.5000
3 Al 0.0000 0.5000 0.0000
4 Ti 0.0000 0.0000 0.5000
5 Ti 0.5000 0.0000 0.0000

---

(6)
Below is AlTlGa after structural relaxation, with properties calculated at the PBE-GGA level.

Results
The calculated total energy is -2.891 eV/atom. As for the density of states at the Fermi level: 1.0 states/eV/f.u. The calculation puts the density at 7.3 g/cm3. The calculation puts the size of the total moment at 0.0000 μB/atom. The space group is No. 107.

a = 3.2974 Å, b = 3.2974 Å, c = 6.6841 Å
α = 104.28°, β = 104.28°, γ = 90.00°
Element x y z (fractional)
1 Ga 0.3104 0.3104 0.6209
2 Tl 0.0013 0.0013 0.0027
3 Al 0.6882 0.6882 0.3764

---

(7)
Below is AlTl2Ga2 after structural relaxation, with properties calculated at the PBE-GGA level.

Results
The calculated total energy is -2.700 eV/atom. As for the density of states at the Fermi level: 2.1 states/eV/f.u. The calculation puts the density at 7.6 g/cm3. The calculation puts the size of the total moment at 0.0000 μB/atom. The space group is No. 139.

a = 3.7230 Å, b = 3.7230 Å, c = 9.3852 Å
α = 78.56°, β = 78.56°, γ = 90.00°
Element x y z (fractional)
1 Ga 0.2500 0.7500 0.5000
2 Ga 0.7500 0.2500 0.5000
3 Tl 0.6003 0.6003 0.7994
4 Tl 0.3997 0.3997 0.2006
5 Al 0.0000 0.0000 0.0000

---

(8)
Below is AlTlGa2 after structural relaxation, with properties calculated at the PBE-GGA level.

Results
The calculated total energy is -2.971 eV/atom. As for the density of states at the Fermi level: 1.2 states/eV/f.u. The calculation puts the density at 7.1 g/cm3. The calculation puts the size of the total moment at 0.0000 μB/atom. The space group is No. 123.

a = 3.1895 Å, b = 3.1895 Å, c = 8.5218 Å
α = 90.00°, β = 90.00°, γ = 90.00°
Element x y z (fractional)
1 Tl 0.5000 0.5000 0.5000
2 Ga 0.0000 0.0000 0.7986
3 Ga 0.0000 0.0000 0.2014
4 Al 0.5000 0.5000 0.0000

---

- Which of these has the highest size of the total moment?
  TmTiAlGa